PBE NaEr2US6, relaxed; space group = R3 (146); energy relative to the elements, uncorrected = -1.660 eV/atom; crystal system = trigonal; density of states at the Fermi level = 0.03 states/eV per atom
1.0
6.877 0.000 0.000
3.438 5.956 0.000
3.438 1.985 6.183
S Er Na U
6 2 1 1
Cartesian
8.043 2.351 4.649
7.696 5.790 4.649
4.891 3.770 4.649
5.715 1.860 1.503
9.286 4.019 1.503
5.630 6.033 1.502
6.877 3.971 2.718
3.438 1.985 6.040
10.316 5.956 3.633
3.439 1.985 0.163